[1]
Here is a geometry-optimized BaAl6Ag2 structure from the Alexandria database. Energies are from PBE-GGA.

Cell lengths 4.770, 4.770, 8.376 Å; angles 90.00, 90.00, 90.00 degrees
Positions (direct):
Al (0.500, 0.000, 0.674)
Al (0.000, 0.000, 0.500)
Al (0.000, 0.500, 0.674)
Al (0.500, 0.000, 0.326)
Al (0.000, 0.500, 0.326)
Al (0.500, 0.500, 0.500)
Ba (0.000, 0.000, 0.000)
Ag (0.500, 0.500, 0.830)
Ag (0.500, 0.500, 0.170)

Computed properties:
The value obtained for the final energy is -3.46 eV/atom. The calculation puts the volume at 21.18 Å³ per atom. The calculation puts the energy of formation at -117 meV per atom. Its density of states at the Fermi level is 0.434 states/eV per atom. Its total magnetic moment is 0.0000 μB/atom.

[2]
Here is a geometry-optimized BaAl4Ag6 structure from the Alexandria database. Energies are from PBE-GGA.

Cell lengths 4.489, 7.558, 7.558 Å; angles 120.00, 90.00, 90.00 degrees
Positions (direct):
Al (0.500, 0.414, 0.207)
Al (0.500, 0.793, 0.586)
Al (0.000, 0.333, 0.667)
Al (0.500, 0.793, 0.207)
Ag (0.000, 0.535, 0.070)
Ag (0.500, 0.205, 0.410)
Ag (0.500, 0.590, 0.795)
Ag (0.500, 0.205, 0.795)
Ag (0.000, 0.930, 0.465)
Ag (0.000, 0.535, 0.465)
Ba (0.000, 0.000, 0.000)

Computed properties:
The value obtained for the final energy is -3.23 eV/atom. The calculation puts the volume at 20.19 Å³ per atom. The calculation puts the energy of formation at -142 meV per atom. Its density of states at the Fermi level is 0.362 states/eV per atom. Its total magnetic moment is 0.0000 μB/atom.

[3]
Here is a geometry-optimized BaAl6Ag3 structure from the Alexandria database. Energies are from PBE-GGA.

Cell lengths 7.364, 7.060, 8.268 Å; angles 106.96, 90.00, 90.00 degrees
Positions (direct):
Ag (0.130, 0.172, 0.461)
Ag (0.870, 0.828, 0.539)
Ag (0.000, 0.500, 0.000)
Ag (0.630, 0.328, 0.039)
Ag (0.500, 0.000, 0.500)
Ag (0.370, 0.672, 0.961)
Ba (0.000, 0.000, 0.000)
Ba (0.500, 0.500, 0.500)
Al (0.967, 0.456, 0.325)
Al (0.467, 0.044, 0.175)
Al (0.276, 0.281, 0.788)
Al (0.776, 0.219, 0.712)
Al (0.214, 0.886, 0.640)
Al (0.033, 0.544, 0.675)
Al (0.286, 0.386, 0.140)
Al (0.533, 0.956, 0.825)
Al (0.724, 0.719, 0.212)
Al (0.714, 0.614, 0.860)
Al (0.224, 0.781, 0.288)
Al (0.786, 0.114, 0.360)

Computed properties:
The value obtained for the final energy is -3.35 eV/atom. The calculation puts the volume at 20.56 Å³ per atom. The calculation puts the energy of formation at -53 meV per atom. Its density of states at the Fermi level is 0.323 states/eV per atom. Its total magnetic moment is 0.0000 μB/atom.

Question: Which value of energy of formation does entry 1 give?
Answer: -117 meV per atom

Question: Which value of total magnetic moment does entry 2 give?
Answer: 0.0000 μB/atom

Question: What is the final energy in the third record?
Answer: -3.35 eV/atom

Question: Which of these has the lowest volume?
Answer: BaAl4Ag6